--- w ---
First-principles (PBE) data for a relaxed AcGa2Ag3 crystal, as listed in the Alexandria database.

Values from the calculation:
Space-group type = C2/m
Magnetic moment = 0.00 μB/atom

abc: 8.807 8.807 7.792
angles: 114.97 114.97 29.13
Fractional coordinates of all 12 atoms:
Ac: 0.150 0.150 0.069
Ac: 0.850 0.850 0.931
Ga: 0.193 0.193 0.686
Ga: 0.481 0.481 0.826
Ga: 0.519 0.519 0.174
Ga: 0.807 0.807 0.314
Ag: 0.038 0.038 0.371
Ag: 0.316 0.316 0.556
Ag: 0.405 0.405 0.321
Ag: 0.595 0.595 0.679
Ag: 0.684 0.684 0.444
Ag: 0.962 0.962 0.629


--- x ---
First-principles (PBE) data for a relaxed AcGa2Ag3 crystal, as listed in the Alexandria database.

Values from the calculation:
Space-group type = C2/m
Magnetic moment = 0.00 μB/atom

abc: 9.134 9.134 10.571
angles: 108.72 108.72 28.31
Fractional coordinates of all 18 atoms:
Ac: 0.000 0.000 0.000
Ac: 0.156 0.156 0.706
Ac: 0.844 0.844 0.294
Ga: 0.205 0.205 0.122
Ga: 0.363 0.363 0.543
Ga: 0.475 0.475 0.228
Ga: 0.525 0.525 0.772
Ga: 0.637 0.637 0.457
Ga: 0.795 0.795 0.878
Ag: 0.047 0.047 0.347
Ag: 0.214 0.214 0.388
Ag: 0.332 0.332 0.036
Ag: 0.370 0.370 0.798
Ag: 0.500 0.500 0.500
Ag: 0.630 0.630 0.202
Ag: 0.668 0.668 0.964
Ag: 0.786 0.786 0.612
Ag: 0.953 0.953 0.653


It is w that is the least stable of them.


--- w ---
First-principles (PBE) data for a relaxed Ac2GaAg5 crystal, as listed in the Alexandria database.

Values from the calculation:
Space-group type = I4mm
Magnetic moment = 0.00 μB/atom

abc: 6.171 6.171 10.886
angles: 90.00 90.00 90.00
Fractional coordinates of all 16 atoms:
Ac: 0.000 0.500 0.000
Ac: 0.000 0.500 0.500
Ac: 0.500 0.000 0.000
Ac: 0.500 0.000 0.500
Ga: 0.000 0.000 0.121
Ga: 0.500 0.500 0.621
Ag: 0.000 0.000 0.395
Ag: 0.228 0.228 0.745
Ag: 0.228 0.772 0.745
Ag: 0.272 0.272 0.245
Ag: 0.272 0.728 0.245
Ag: 0.500 0.500 0.895
Ag: 0.728 0.272 0.245
Ag: 0.728 0.728 0.245
Ag: 0.772 0.228 0.745
Ag: 0.772 0.772 0.745


--- x ---
First-principles (PBE) data for a relaxed Ac2GaAg5 crystal, as listed in the Alexandria database.

Values from the calculation:
Space-group type = Cmcm
Magnetic moment = 0.00 μB/atom

abc: 8.894 8.894 9.797
angles: 90.00 90.00 149.03
Fractional coordinates of all 16 atoms:
Ac: 0.000 0.000 0.000
Ac: 0.000 0.000 0.500
Ac: 0.203 0.797 0.750
Ac: 0.797 0.203 0.250
Ga: 0.443 0.557 0.250
Ga: 0.557 0.443 0.750
Ag: 0.184 0.816 0.108
Ag: 0.184 0.816 0.392
Ag: 0.353 0.647 0.028
Ag: 0.353 0.647 0.472
Ag: 0.404 0.596 0.750
Ag: 0.596 0.404 0.250
Ag: 0.647 0.353 0.528
Ag: 0.647 0.353 0.972
Ag: 0.816 0.184 0.608
Ag: 0.816 0.184 0.892


It is w that is the least stable of them.


--- w ---
First-principles (PBE) data for a relaxed Ac3GaAg crystal, as listed in the Alexandria database.

Values from the calculation:
Space-group type = Cmcm
Magnetic moment = 0.00 μB/atom

abc: 11.006 11.006 5.621
angles: 90.00 90.00 150.31
Fractional coordinates of all 10 atoms:
Ac: 0.066 0.934 0.750
Ac: 0.248 0.752 0.750
Ac: 0.429 0.571 0.750
Ac: 0.571 0.429 0.250
Ac: 0.752 0.248 0.250
Ac: 0.934 0.066 0.250
Ga: 0.155 0.845 0.250
Ga: 0.845 0.155 0.750
Ag: 0.342 0.658 0.250
Ag: 0.658 0.342 0.750


--- x ---
First-principles (PBE) data for a relaxed Ac3GaAg crystal, as listed in the Alexandria database.

Values from the calculation:
Space-group type = C2/c
Magnetic moment = 0.00 μB/atom

abc: 8.629 8.629 12.237
angles: 114.41 114.41 65.82
Fractional coordinates of all 20 atoms:
Ac: 0.130 0.758 0.920
Ac: 0.186 0.306 0.419
Ac: 0.213 0.513 0.213
Ac: 0.242 0.870 0.580
Ac: 0.306 0.186 0.919
Ac: 0.487 0.787 0.287
Ac: 0.513 0.213 0.713
Ac: 0.694 0.814 0.081
Ac: 0.758 0.130 0.420
Ac: 0.787 0.487 0.787
Ac: 0.814 0.694 0.581
Ac: 0.870 0.242 0.080
Ga: 0.090 0.325 0.658
Ga: 0.325 0.090 0.158
Ga: 0.675 0.910 0.842
Ga: 0.910 0.675 0.342
Ag: 0.049 0.951 0.250
Ag: 0.500 0.500 0.000
Ag: 0.500 0.500 0.500
Ag: 0.951 0.049 0.750


It is x that is the least stable of them.


--- w ---
First-principles (PBE) data for a relaxed AcGa2Ag6 crystal, as listed in the Alexandria database.

Values from the calculation:
Space-group type = P4/mmm
Magnetic moment = 0.00 μB/atom

abc: 4.471 4.471 9.243
angles: 90.00 90.00 90.00
Fractional coordinates of all 9 atoms:
Ac: 0.000 0.000 0.000
Ga: 0.500 0.500 0.139
Ga: 0.500 0.500 0.861
Ag: 0.000 0.000 0.500
Ag: 0.000 0.500 0.297
Ag: 0.000 0.500 0.703
Ag: 0.500 0.000 0.297
Ag: 0.500 0.000 0.703
Ag: 0.500 0.500 0.500


--- x ---
First-principles (PBE) data for a relaxed AcGa2Ag6 crystal, as listed in the Alexandria database.

Values from the calculation:
Space-group type = P6/mmm
Magnetic moment = 0.00 μB/atom

abc: 5.859 5.859 7.233
angles: 90.00 90.00 120.00
Fractional coordinates of all 9 atoms:
Ac: 0.000 0.000 0.000
Ga: 0.333 0.667 0.500
Ga: 0.667 0.333 0.500
Ag: 0.000 0.500 0.206
Ag: 0.000 0.500 0.794
Ag: 0.500 0.000 0.206
Ag: 0.500 0.000 0.794
Ag: 0.500 0.500 0.206
Ag: 0.500 0.500 0.794


It is x that is the least stable of them.


--- w ---
First-principles (PBE) data for a relaxed AcGa2Ag9 crystal, as listed in the Alexandria database.

Values from the calculation:
Space-group type = I4_1/amd
Magnetic moment = 0.00 μB/atom

abc: 8.875 8.875 8.875
angles: 99.73 99.73 131.46
Fractional coordinates of all 24 atoms:
Ac: 0.375 0.625 0.750
Ac: 0.625 0.375 0.250
Ga: 0.000 0.000 0.000
Ga: 0.000 0.000 0.500
Ga: 0.000 0.500 0.000
Ga: 0.500 0.000 0.500
Ag: 0.125 0.875 0.250
Ag: 0.137 0.563 0.331
Ag: 0.137 0.806 0.575
Ag: 0.194 0.269 0.331
Ag: 0.194 0.863 0.925
Ag: 0.269 0.194 0.831
Ag: 0.269 0.437 0.075
Ag: 0.437 0.269 0.575
Ag: 0.437 0.863 0.169
Ag: 0.563 0.137 0.831
Ag: 0.563 0.731 0.425
Ag: 0.731 0.563 0.925
Ag: 0.731 0.806 0.169
Ag: 0.806 0.137 0.075
Ag: 0.806 0.731 0.669
Ag: 0.863 0.194 0.425
Ag: 0.863 0.437 0.669
Ag: 0.875 0.125 0.750


--- x ---
First-principles (PBE) data for a relaxed AcGa2Ag9 crystal, as listed in the Alexandria database.

Values from the calculation:
Space-group type = P6/mmm
Magnetic moment = 0.00 μB/atom

abc: 9.053 9.053 3.370
angles: 90.00 90.00 120.00
Fractional coordinates of all 12 atoms:
Ac: 0.000 0.000 0.000
Ga: 0.333 0.667 0.000
Ga: 0.667 0.333 0.000
Ag: 0.000 0.500 0.000
Ag: 0.189 0.377 0.500
Ag: 0.189 0.811 0.500
Ag: 0.377 0.189 0.500
Ag: 0.500 0.000 0.000
Ag: 0.500 0.500 0.000
Ag: 0.623 0.811 0.500
Ag: 0.811 0.189 0.500
Ag: 0.811 0.623 0.500


It is x that is the least stable of them.


--- w ---
First-principles (PBE) data for a relaxed AcGa3Ag crystal, as listed in the Alexandria database.

Values from the calculation:
Space-group type = I4mm
Magnetic moment = 0.00 μB/atom

abc: 4.537 4.537 10.853
angles: 90.00 90.00 90.00
Fractional coordinates of all 10 atoms:
Ac: 0.000 0.000 0.000
Ac: 0.500 0.500 0.500
Ga: 0.000 0.000 0.610
Ga: 0.000 0.500 0.245
Ga: 0.000 0.500 0.745
Ga: 0.500 0.000 0.245
Ga: 0.500 0.000 0.745
Ga: 0.500 0.500 0.110
Ag: 0.000 0.000 0.371
Ag: 0.500 0.500 0.871


--- x ---
First-principles (PBE) data for a relaxed AcGa3Ag crystal, as listed in the Alexandria database.

Values from the calculation:
Space-group type = P6_3/mmc
Magnetic moment = 0.00 μB/atom

abc: 6.545 6.545 6.093
angles: 90.00 90.00 120.00
Fractional coordinates of all 10 atoms:
Ac: 0.333 0.667 0.250
Ac: 0.667 0.333 0.750
Ga: 0.198 0.396 0.750
Ga: 0.198 0.802 0.750
Ga: 0.396 0.198 0.250
Ga: 0.604 0.802 0.750
Ga: 0.802 0.198 0.250
Ga: 0.802 0.604 0.250
Ag: 0.000 0.000 0.000
Ag: 0.000 0.000 0.500


It is x that is the least stable of them.


--- w ---
First-principles (PBE) data for a relaxed LiAcGaAg crystal, as listed in the Alexandria database.

Values from the calculation:
Space-group type = Cm
Magnetic moment = 0.00 μB/atom

abc: 7.973 4.608 5.988
angles: 90.00 116.53 90.00
Fractional coordinates of all 8 atoms:
Li: 0.000 0.000 0.000
Li: 0.500 0.500 0.000
Ac: 0.497 0.000 0.493
Ac: 0.997 0.500 0.493
Ga: 0.293 0.000 0.878
Ga: 0.793 0.500 0.878
Ag: 0.196 0.500 0.089
Ag: 0.696 0.000 0.089


--- x ---
First-principles (PBE) data for a relaxed LiAcGaAg crystal, as listed in the Alexandria database.

Values from the calculation:
Space-group type = F-43m
Magnetic moment = 0.00 μB/atom

abc: 7.382 7.382 7.382
angles: 90.00 90.00 90.00
Fractional coordinates of all 16 atoms:
Li: 0.000 0.000 0.000
Li: 0.000 0.500 0.500
Li: 0.500 0.000 0.500
Li: 0.500 0.500 0.000
Ac: 0.000 0.000 0.500
Ac: 0.000 0.500 0.000
Ac: 0.500 0.000 0.000
Ac: 0.500 0.500 0.500
Ga: 0.250 0.250 0.250
Ga: 0.250 0.750 0.750
Ga: 0.750 0.250 0.750
Ga: 0.750 0.750 0.250
Ag: 0.250 0.250 0.750
Ag: 0.250 0.750 0.250
Ag: 0.750 0.250 0.250
Ag: 0.750 0.750 0.750


It is x that is the least stable of them.


--- w ---
First-principles (PBE) data for a relaxed AcGd2Ag crystal, as listed in the Alexandria database.

Values from the calculation:
Space-group type = Fm-3m
Magnetic moment = 4.09 μB/atom

abc: 7.840 7.840 7.840
angles: 90.00 90.00 90.00
Fractional coordinates of all 16 atoms:
Ac: 0.000 0.000 0.000
Ac: 0.000 0.500 0.500
Ac: 0.500 0.000 0.500
Ac: 0.500 0.500 0.000
Gd: 0.250 0.250 0.250
Gd: 0.250 0.250 0.750
Gd: 0.250 0.750 0.250
Gd: 0.250 0.750 0.750
Gd: 0.750 0.250 0.250
Gd: 0.750 0.250 0.750
Gd: 0.750 0.750 0.250
Gd: 0.750 0.750 0.750
Ag: 0.000 0.000 0.500
Ag: 0.000 0.500 0.000
Ag: 0.500 0.000 0.000
Ag: 0.500 0.500 0.500


--- x ---
First-principles (PBE) data for a relaxed AcGd2Ag crystal, as listed in the Alexandria database.

Values from the calculation:
Space-group type = P4/mmm
Magnetic moment = 3.77 μB/atom

abc: 3.744 3.744 8.901
angles: 90.00 90.00 90.00
Fractional coordinates of all 4 atoms:
Ac: 0.000 0.000 0.000
Gd: 0.500 0.500 0.300
Gd: 0.500 0.500 0.700
Ag: 0.000 0.000 0.500


It is w that is the least stable of them.


--- w ---
First-principles (PBE) data for a relaxed AcAgGe2 crystal, as listed in the Alexandria database.

Values from the calculation:
Space-group type = P4/mmm
Magnetic moment = 0.00 μB/atom

abc: 4.655 4.655 4.541
angles: 90.00 90.00 90.00
Fractional coordinates of all 4 atoms:
Ac: 0.000 0.000 0.000
Ag: 0.500 0.500 0.000
Ge: 0.000 0.500 0.500
Ge: 0.500 0.000 0.500


--- x ---
First-principles (PBE) data for a relaxed AcAgGe2 crystal, as listed in the Alexandria database.

Values from the calculation:
Space-group type = Amm2
Magnetic moment = 0.00 μB/atom

abc: 4.241 6.202 8.152
angles: 90.00 90.00 90.00
Fractional coordinates of all 8 atoms:
Ac: 0.000 0.000 0.000
Ac: 0.000 0.500 0.500
Ag: 0.500 0.000 0.423
Ag: 0.500 0.500 0.923
Ge: 0.500 0.196 0.709
Ge: 0.500 0.304 0.209
Ge: 0.500 0.696 0.209
Ge: 0.500 0.804 0.709


--- y ---
First-principles (PBE) data for a relaxed AcAgGe2 crystal, as listed in the Alexandria database.

Values from the calculation:
Space-group type = Pnma
Magnetic moment = 0.00 μB/atom

abc: 14.660 4.555 11.454
angles: 90.00 90.00 90.00
Fractional coordinates of all 32 atoms:
Ac: 0.047 0.250 0.248
Ac: 0.202 0.750 0.523
Ac: 0.298 0.250 0.023
Ac: 0.453 0.750 0.748
Ac: 0.547 0.250 0.252
Ac: 0.702 0.750 0.977
Ac: 0.798 0.250 0.477
Ac: 0.953 0.750 0.752
Ag: 0.055 0.250 0.952
Ag: 0.208 0.750 0.819
Ag: 0.292 0.250 0.319
Ag: 0.445 0.750 0.452
Ag: 0.555 0.250 0.548
Ag: 0.708 0.750 0.681
Ag: 0.792 0.250 0.181
Ag: 0.945 0.750 0.048
Ge: 0.038 0.250 0.529
Ge: 0.113 0.250 0.728
Ge: 0.132 0.750 0.033
Ge: 0.207 0.750 0.233
Ge: 0.293 0.250 0.733
Ge: 0.368 0.250 0.533
Ge: 0.387 0.750 0.228
Ge: 0.462 0.750 0.029
Ge: 0.538 0.250 0.971
Ge: 0.613 0.250 0.772
Ge: 0.632 0.750 0.467
Ge: 0.707 0.750 0.267
Ge: 0.793 0.250 0.767
Ge: 0.868 0.250 0.967
Ge: 0.887 0.750 0.272
Ge: 0.962 0.750 0.471


It is w that is the least stable of them.


--- w ---
First-principles (PBE) data for a relaxed AcAgGe2 crystal, as listed in the Alexandria database.

Values from the calculation:
Space-group type = P4/mmm
Magnetic moment = 0.00 μB/atom

abc: 3.708 3.708 6.930
angles: 90.00 90.00 90.00
Fractional coordinates of all 4 atoms:
Ac: 0.000 0.000 0.000
Ag: 0.000 0.000 0.500
Ge: 0.500 0.500 0.314
Ge: 0.500 0.500 0.686


--- x ---
First-principles (PBE) data for a relaxed AcAgGe2 crystal, as listed in the Alexandria database.

Values from the calculation:
Space-group type = Fm-3m
Magnetic moment = 0.00 μB/atom

abc: 7.284 7.284 7.284
angles: 90.00 90.00 90.00
Fractional coordinates of all 16 atoms:
Ac: 0.000 0.000 0.000
Ac: 0.000 0.500 0.500
Ac: 0.500 0.000 0.500
Ac: 0.500 0.500 0.000
Ag: 0.000 0.000 0.500
Ag: 0.000 0.500 0.000
Ag: 0.500 0.000 0.000
Ag: 0.500 0.500 0.500
Ge: 0.250 0.250 0.250
Ge: 0.250 0.250 0.750
Ge: 0.250 0.750 0.250
Ge: 0.250 0.750 0.750
Ge: 0.750 0.250 0.250
Ge: 0.750 0.250 0.750
Ge: 0.750 0.750 0.250
Ge: 0.750 0.750 0.750


It is w that is the least stable of them.